(1)
A plane-wave DFT calculation with PBE was carried out for a geometry-optimized Cs6UCl12 structure. Values from VASP.

```
&SYSTEM
  ibrav = 0, nat = 19, ntyp = 3
/
ATOMIC_SPECIES
Cs 132.91 Cs.upf
U 238.03 U.upf
Cl 35.45 Cl.upf
CELL_PARAMETERS angstrom
6.7848 3.9172 5.9615
-6.7848 3.9172 5.9615
0.0000 -7.8344 5.9615
ATOMIC_POSITIONS crystal
Cs 0.0142 0.7468 0.4990
Cs 0.2532 0.5010 0.9858
Cs 0.4990 0.0142 0.7468
Cs 0.5010 0.9858 0.2532
Cs 0.7468 0.4990 0.0142
Cs 0.9858 0.2532 0.5010
U 0.5000 0.5000 0.5000
Cl 0.0009 0.4963 0.7565
Cl 0.2435 0.9991 0.5037
Cl 0.3317 0.3351 0.5947
Cl 0.3351 0.5947 0.3317
Cl 0.4053 0.6683 0.6649
Cl 0.4963 0.7565 0.0009
Cl 0.5037 0.2435 0.9991
Cl 0.5947 0.3317 0.3351
Cl 0.6649 0.4053 0.6683
Cl 0.6683 0.6649 0.4053
Cl 0.7565 0.0009 0.4963
Cl 0.9991 0.5037 0.2435
```

Values from the calculation:
DOS(E_F), states/eV/atom: 2.319


(2)
A plane-wave DFT calculation with PBE was carried out for a geometry-optimized CsUCl3 structure. Values from VASP.

```
&SYSTEM
  ibrav = 0, nat = 5, ntyp = 3
/
ATOMIC_SPECIES
Cs 132.91 Cs.upf
U 238.03 U.upf
Cl 35.45 Cl.upf
CELL_PARAMETERS angstrom
5.5263 0.0000 0.0000
0.0000 5.5263 0.0000
0.0000 0.0000 5.5263
ATOMIC_POSITIONS crystal
Cs 0.0000 0.0000 0.0000
U 0.5000 0.5000 0.5000
Cl 0.0000 0.5000 0.5000
Cl 0.5000 0.0000 0.5000
Cl 0.5000 0.5000 0.0000
```

Values from the calculation:
DOS(E_F), states/eV/atom: 1.912


(3)
A plane-wave DFT calculation with PBE was carried out for a geometry-optimized Cs2UCl5 structure. Values from VASP.

```
&SYSTEM
  ibrav = 0, nat = 32, ntyp = 3
/
ATOMIC_SPECIES
Cs 132.91 Cs.upf
U 238.03 U.upf
Cl 35.45 Cl.upf
CELL_PARAMETERS angstrom
10.0674 0.0000 0.0000
0.0000 7.7462 0.0000
0.0000 0.0000 15.6848
ATOMIC_POSITIONS crystal
Cs 0.0214 0.2500 0.2158
Cs 0.1580 0.7500 0.4170
Cs 0.3420 0.2500 0.9170
Cs 0.4786 0.7500 0.7158
Cs 0.5214 0.2500 0.2842
Cs 0.6580 0.7500 0.0830
Cs 0.8420 0.2500 0.5830
Cs 0.9786 0.7500 0.7842
U 0.1797 0.7500 0.0621
U 0.3203 0.2500 0.5621
U 0.6797 0.7500 0.4379
U 0.8203 0.2500 0.9379
Cl 0.0000 0.0000 0.0000
Cl 0.0000 0.5000 0.0000
Cl 0.0315 0.7500 0.2063
Cl 0.1574 0.5065 0.6133
Cl 0.1574 0.9935 0.6133
Cl 0.2185 0.2500 0.3985
Cl 0.2815 0.7500 0.8985
Cl 0.3426 0.0065 0.1133
Cl 0.3426 0.4935 0.1133
Cl 0.4685 0.2500 0.7063
Cl 0.5000 0.0000 0.5000
Cl 0.5000 0.5000 0.5000
Cl 0.5315 0.7500 0.2937
Cl 0.6574 0.5065 0.8867
Cl 0.6574 0.9935 0.8867
Cl 0.7185 0.2500 0.1015
Cl 0.7815 0.7500 0.6015
Cl 0.8426 0.0065 0.3867
Cl 0.8426 0.4935 0.3867
Cl 0.9685 0.2500 0.7937
```

Values from the calculation:
DOS(E_F), states/eV/atom: 0.277


(4)
A plane-wave DFT calculation with PBE was carried out for a geometry-optimized CsU2Cl7 structure. Values from VASP.

```
&SYSTEM
  ibrav = 0, nat = 10, ntyp = 3
/
ATOMIC_SPECIES
Cs 132.91 Cs.upf
U 238.03 U.upf
Cl 35.45 Cl.upf
CELL_PARAMETERS angstrom
4.3765 -7.1587 0.0000
4.3765 7.1587 0.0000
0.0000 0.0000 5.5033
ATOMIC_POSITIONS crystal
Cs 0.0000 0.0000 0.0000
U 0.3061 0.6939 0.5000
U 0.6939 0.3061 0.5000
Cl 0.0461 0.3285 0.5000
Cl 0.2963 0.7037 0.0000
Cl 0.3285 0.0461 0.5000
Cl 0.5000 0.5000 0.5000
Cl 0.6715 0.9539 0.5000
Cl 0.7037 0.2963 0.0000
Cl 0.9539 0.6715 0.5000
```

Values from the calculation:
DOS(E_F), states/eV/atom: 0.409


(5)
A plane-wave DFT calculation with PBE was carried out for a geometry-optimized Cs3UCl7 structure. Values from VASP.

```
&SYSTEM
  ibrav = 0, nat = 11, ntyp = 3
/
ATOMIC_SPECIES
Cs 132.91 Cs.upf
U 238.03 U.upf
Cl 35.45 Cl.upf
CELL_PARAMETERS angstrom
5.8404 -5.4563 0.0000
5.8404 5.4563 0.0000
-5.4050 0.0000 6.8801
ATOMIC_POSITIONS crystal
Cs 0.0000 0.0000 0.0000
Cs 0.2730 0.7359 0.5677
Cs 0.7359 0.2730 0.5677
U 0.5498 0.5498 0.1196
Cl 0.2113 0.5166 0.8207
Cl 0.3760 0.3760 0.2212
Cl 0.3808 0.8488 0.2725
Cl 0.5166 0.2113 0.8207
Cl 0.6986 0.6986 0.9821
Cl 0.8282 0.8282 0.4898
Cl 0.8488 0.3808 0.2725
```

Values from the calculation:
DOS(E_F), states/eV/atom: 0.371


(6)
A plane-wave DFT calculation with PBE was carried out for a geometry-optimized Cs2UCl8 structure. Values from VASP.

```
&SYSTEM
  ibrav = 0, nat = 11, ntyp = 3
/
ATOMIC_SPECIES
Cs 132.91 Cs.upf
U 238.03 U.upf
Cl 35.45 Cl.upf
CELL_PARAMETERS angstrom
12.0126 -2.4710 0.0000
12.0126 2.4710 0.0000
-1.8633 0.0000 6.5023
ATOMIC_POSITIONS crystal
Cs 0.1805 0.1805 0.1802
Cs 0.8195 0.8195 0.8198
U 0.5000 0.5000 0.5000
Cl 0.0179 0.0179 0.7259
Cl 0.2199 0.2199 0.7165
Cl 0.4002 0.4002 0.2571
Cl 0.4391 0.4391 0.7508
Cl 0.5609 0.5609 0.2492
Cl 0.5998 0.5998 0.7429
Cl 0.7801 0.7801 0.2835
Cl 0.9821 0.9821 0.2741
```

Values from the calculation:
DOS(E_F), states/eV/atom: 1.295


(7)
A plane-wave DFT calculation with PBE was carried out for a geometry-optimized Cs3U2Cl9 structure. Values from VASP.

```
&SYSTEM
  ibrav = 0, nat = 28, ntyp = 3
/
ATOMIC_SPECIES
Cs 132.91 Cs.upf
U 238.03 U.upf
Cl 35.45 Cl.upf
CELL_PARAMETERS angstrom
6.8029 3.9277 6.2711
-6.8029 3.9277 6.2711
0.0000 -7.8554 6.2711
ATOMIC_POSITIONS crystal
Cs 0.0933 0.7500 0.4067
Cs 0.2500 0.5933 0.9067
Cs 0.4067 0.0933 0.7500
Cs 0.5933 0.9067 0.2500
Cs 0.7500 0.4067 0.0933
Cs 0.9067 0.2500 0.5933
U 0.1566 0.1566 0.1566
U 0.3434 0.3434 0.3434
U 0.6566 0.6566 0.6566
U 0.8434 0.8434 0.8434
Cl 0.0807 0.9183 0.7350
Cl 0.0817 0.2650 0.9193
Cl 0.0892 0.4108 0.2500
Cl 0.2350 0.4183 0.5807
Cl 0.2500 0.0892 0.4108
Cl 0.2650 0.9193 0.0817
Cl 0.4108 0.2500 0.0892
Cl 0.4183 0.5807 0.2350
Cl 0.4193 0.7650 0.5817
Cl 0.5807 0.2350 0.4183
Cl 0.5817 0.4193 0.7650
Cl 0.5892 0.7500 0.9108
Cl 0.7350 0.0807 0.9183
Cl 0.7500 0.9108 0.5892
Cl 0.7650 0.5817 0.4193
Cl 0.9108 0.5892 0.7500
Cl 0.9183 0.7350 0.0807
Cl 0.9193 0.0817 0.2650
```

Values from the calculation:
DOS(E_F), states/eV/atom: 0.922


(8)
A plane-wave DFT calculation with PBE was carried out for a geometry-optimized CsUCl4 structure. Values from VASP.

```
&SYSTEM
  ibrav = 0, nat = 12, ntyp = 3
/
ATOMIC_SPECIES
Cs 132.91 Cs.upf
U 238.03 U.upf
Cl 35.45 Cl.upf
CELL_PARAMETERS angstrom
4.4541 -7.3715 0.0000
4.4541 7.3715 0.0000
-1.6241 0.0000 6.3274
ATOMIC_POSITIONS crystal
Cs 0.1433 0.8567 0.7500
Cs 0.8567 0.1433 0.2500
U 0.5003 0.4997 0.2500
U 0.4997 0.5003 0.7500
Cl 0.1878 0.3034 0.9141
Cl 0.2572 0.5521 0.4670
Cl 0.3034 0.1878 0.4141
Cl 0.4479 0.7428 0.0330
Cl 0.5521 0.2572 0.9670
Cl 0.6966 0.8122 0.5859
Cl 0.7428 0.4479 0.5330
Cl 0.8122 0.6966 0.0859
```

Values from the calculation:
E above lowest polymorph, eV/f.u.: 0.00
DOS(E_F), states/eV/atom: 0.516


(9)
A plane-wave DFT calculation with PBE was carried out for a geometry-optimized Cs3UCl6 structure. Values from VASP.

```
&SYSTEM
  ibrav = 0, nat = 20, ntyp = 3
/
ATOMIC_SPECIES
Cs 132.91 Cs.upf
U 238.03 U.upf
Cl 35.45 Cl.upf
CELL_PARAMETERS angstrom
8.2048 0.0000 0.0000
0.0000 8.6424 0.0000
-8.0741 0.0000 11.7113
ATOMIC_POSITIONS crystal
Cs 0.0000 0.0000 0.0000
Cs 0.0000 0.5000 0.5000
Cs 0.2220 0.0631 0.7452
Cs 0.2220 0.4369 0.2452
Cs 0.7780 0.5631 0.7548
Cs 0.7780 0.9369 0.2548
U 0.5000 0.0000 0.5000
U 0.5000 0.5000 0.0000
Cl 0.1788 0.1763 0.4500
Cl 0.1788 0.3237 0.9500
Cl 0.2630 0.7372 0.4292
Cl 0.2630 0.7628 0.9292
Cl 0.3953 0.0524 0.2803
Cl 0.3953 0.4476 0.7803
Cl 0.6047 0.5524 0.2197
Cl 0.6047 0.9476 0.7197
Cl 0.7370 0.2372 0.0708
Cl 0.7370 0.2628 0.5708
Cl 0.8212 0.6763 0.0500
Cl 0.8212 0.8237 0.5500
```


Values of mass density, in order: 2.55 4.70 3.70 4.13 3.35 3.39 3.94 4.10 3.40, all in g/cm³.
Values of energy relative to the elements, uncorrected, in order: -1.729 -1.430 -1.876 -1.753 -1.900 -1.494 -1.847 -1.823 -1.912, all in eV per atom.